Below is crystalline CaCuSe at its relaxed geometry, with properties calculated at the PBE level.

Results
Magnetization: 0.00 μB per atom
Calculated volume: 22.62 A^3/atom
ΔE_f (raw): -0.539 eV/atom
Offset from the most stable computed form: 0.251 eV per atom

Lattice parameters (Å, degrees): 4.578 4.578 4.578 60.00 60.00 60.00
Fractional coordinates of all 3 atoms:
1 Ca 0.500 0.500 0.500
2 Cu 0.750 0.750 0.750
3 Se 0.000 0.000 0.000

Below is crystalline CaCu3Se at its relaxed geometry, with properties calculated at the PBE level.

Results
Magnetization: 0.00 μB per atom
Calculated volume: 21.03 A^3/atom
ΔE_f (raw): 0.221 eV/atom
Offset from the most stable computed form: 0.000 eV per atom

Lattice parameters (Å, degrees): 4.720 4.720 4.720 90.00 90.00 90.00
Fractional coordinates of all 5 atoms:
1 Cu 0.500 0.000 0.000
2 Cu 0.000 0.000 0.500
3 Cu 0.000 0.500 0.000
4 Ca 0.500 0.500 0.500
5 Se 0.000 0.000 0.000

Below is crystalline CaCu3Se at its relaxed geometry, with properties calculated at the PBE level.

Results
Magnetization: 0.00 μB per atom
Calculated volume: 24.66 A^3/atom
ΔE_f (raw): 1.286 eV/atom
Offset from the most stable computed form: 1.065 eV per atom

Lattice parameters (Å, degrees): 4.977 4.977 4.977 90.00 90.00 90.00
Fractional coordinates of all 5 atoms:
1 Cu 0.000 0.500 0.000
2 Cu 0.500 0.000 0.000
3 Cu 0.000 0.000 0.500
4 Ca 0.000 0.000 0.000
5 Se 0.500 0.500 0.500

Below is crystalline CaCuSe at its relaxed geometry, with properties calculated at the PBE level.

Results
Magnetization: 0.00 μB per atom
Calculated volume: 24.89 A^3/atom
ΔE_f (raw): -0.446 eV/atom
Offset from the most stable computed form: 0.345 eV per atom

Lattice parameters (Å, degrees): 4.726 4.726 4.726 60.00 60.00 60.00
Fractional coordinates of all 3 atoms:
1 Ca 0.750 0.750 0.750
2 Se 0.500 0.500 0.500
3 Cu 0.000 0.000 0.000

Below is crystalline CaCu2SiSe4 at its relaxed geometry, with properties calculated at the PBE level.

Results
Magnetization: 0.00 μB per atom
Calculated volume: 23.79 A^3/atom
ΔE_f (raw): -0.683 eV/atom

Lattice parameters (Å, degrees): 6.154 6.154 6.644 117.52 117.52 90.12
Fractional coordinates of all 8 atoms:
1 Se 0.150 0.150 0.723
2 Se 0.427 0.849 0.277
3 Se 0.573 0.573 0.723
4 Se 0.849 0.427 0.277
5 Ca 0.002 0.002 0.003
6 Cu 0.750 0.250 0.500
7 Cu 0.250 0.750 0.500
8 Si 0.500 0.500 0.999

Below is crystalline Ca2SmCu2Se4 at its relaxed geometry, with properties calculated at the PBE level.

Results
Magnetization: 0.00 μB per atom
Calculated volume: 22.54 A^3/atom
ΔE_f (raw): -1.225 eV/atom

Lattice parameters (Å, degrees): 3.954 7.446 7.657 110.56 104.96 90.00
Fractional coordinates of all 9 atoms:
1 Se 0.471 0.263 0.942
2 Se 0.790 0.765 0.581
3 Se 0.210 0.235 0.419
4 Se 0.529 0.737 0.058
5 Ca 0.866 0.420 0.733
6 Ca 0.134 0.580 0.267
7 Sm 0.000 0.000 0.000
8 Cu 0.311 0.991 0.621
9 Cu 0.689 0.009 0.379

Below is crystalline CaCuSnSe3 at its relaxed geometry, with properties calculated at the PBE level.

Results
Magnetization: 0.00 μB per atom
Calculated volume: 24.76 A^3/atom
ΔE_f (raw): -0.797 eV/atom

Lattice parameters (Å, degrees): 4.019 8.597 8.778 101.58 90.00 90.00
Fractional coordinates of all 12 atoms:
1 Se 0.750 0.221 0.511
2 Se 0.250 0.586 0.820
3 Se 0.750 0.895 0.134
4 Se 0.250 0.105 0.866
5 Se 0.750 0.414 0.180
6 Se 0.250 0.779 0.489
7 Cu 0.750 0.928 0.427
8 Cu 0.250 0.072 0.573
9 Ca 0.250 0.164 0.227
10 Ca 0.750 0.836 0.773
11 Sn 0.750 0.345 0.848
12 Sn 0.250 0.655 0.152

Below is crystalline Ca2TbCu2Se4 at its relaxed geometry, with properties calculated at the PBE level.

Results
Magnetization: 0.00 μB per atom
Calculated volume: 22.14 A^3/atom
ΔE_f (raw): -1.226 eV/atom

Lattice parameters (Å, degrees): 3.938 7.415 7.606 110.96 105.00 90.00
Fractional coordinates of all 9 atoms:
1 Se 0.792 0.765 0.584
2 Se 0.526 0.739 0.051
3 Se 0.208 0.235 0.416
4 Se 0.474 0.261 0.949
5 Cu 0.689 0.008 0.379
6 Cu 0.311 0.992 0.621
7 Ca 0.866 0.419 0.732
8 Ca 0.134 0.581 0.268
9 Tb 0.000 0.000 0.000